Entry 1:
## ZnAsRuSe2 (PBE-GGA)

Data for a geometry-optimized ZnAsRuSe2 structure.

Results
Symmetry: No. 123
Size of the total moment, μB/cell: 0.00
E_form (uncorrected), eV per atom: 0.477
DOS(E_F), states/eV/f.u.: 6.62

Cell lengths 5.0255, 5.0255, 4.6184 Å; angles 90.00, 90.00, 90.00 degrees
Fractional coordinates of all 5 atoms:
Zn: 0.0000 0.0000 0.0000
As: 0.5000 0.5000 0.0000
Ru: 0.5000 0.5000 0.5000
Se: 0.0000 0.5000 0.5000
Se: 0.5000 0.0000 0.5000



Entry 2:
## ZrAsRuSe2 (PBE-GGA)

Data for a geometry-optimized ZrAsRuSe2 structure.

Results
Symmetry: No. 123
Size of the total moment, μB/cell: 0.56
E_form (uncorrected), eV per atom: 0.269
DOS(E_F), states/eV/f.u.: 5.20

Cell lengths 4.9302, 4.9302, 4.5757 Å; angles 90.00, 90.00, 90.00 degrees
Fractional coordinates of all 5 atoms:
Zr: 0.0000 0.0000 0.0000
As: 0.5000 0.5000 0.0000
Ru: 0.5000 0.5000 0.5000
Se: 0.0000 0.5000 0.5000
Se: 0.5000 0.0000 0.5000



Entry 3:
## ZrAsRuSe2 (PBE-GGA)

Data for a geometry-optimized ZrAsRuSe2 structure.

Results
Symmetry: No. 123
Size of the total moment, μB/cell: 3.12
E_form (uncorrected), eV per atom: 0.601
DOS(E_F), states/eV/f.u.: 5.79

Cell lengths 5.1405, 5.1405, 5.2025 Å; angles 90.00, 90.00, 90.00 degrees
Fractional coordinates of all 5 atoms:
Zr: 0.0000 0.0000 0.0000
As: 0.0000 0.0000 0.5000
Ru: 0.5000 0.5000 0.5000
Se: 0.0000 0.5000 0.0000
Se: 0.5000 0.0000 0.0000